# Li3Zr3TiS8

Li3Zr3TiS8 after structural relaxation (PBE, the Alexandria database).

The structure in extended XYZ format:
```
15
Lattice="-3.2109 -6.3917 -0.5056 1.6600 2.6800 6.4341 -5.6660 3.1500 -3.8270" Properties=species:S:1:pos:R:3 pbc="T T T"
S -5.8409 -1.0847 -0.0324
S -3.3072 3.4681 3.4732
S -1.3760 0.5230 2.1339
S -2.2490 -0.7241 -1.1103
S -3.0516 -2.6433 1.9554
S -3.9098 -4.0298 -1.3717
S -4.9679 0.1624 3.2118
S -4.1653 2.0817 0.1461
Ti -2.8330 1.5750 -1.9135
Li 0.8300 1.3400 3.2170
Li -0.7755 -1.8558 2.9642
Li 0.0000 0.0000 0.0000
Zr -2.0030 2.9150 1.3036
Zr -3.6085 -0.2808 1.0508
Zr -4.4384 -1.6209 -2.1663
```

Results
Total magnetization (μB per cell): 0.0
Calculated total energy (eV per atom): -6.33
Formation energy without anion corrections (eV per atom): -1.51
Calculated density (g cm⁻³): 3.6
Space-group type: C2/m